[1]
Density functional theory data (GGA-PBE) for a geometry-optimized NaHfSe2Br structure.

Computed properties:
magnetic moment	0.0	μB per formula unit
raw total energy	-3.64	eV per atom
E above lowest polymorph	32.71	kcal/mol of atoms
uncorrected formation energy	0.35	eV/atom

Geometry as CIF:
```
data_NaHfSe2Br
_chemical_formula_sum 'Na1 Hf1 Se2 Br1'
_cell_length_a 5.0927
_cell_length_b 5.0927
_cell_length_c 4.8302
_cell_angle_alpha 90.00
_cell_angle_beta 90.00
_cell_angle_gamma 90.00
_symmetry_space_group_name_H-M 'P 4/m m m'
_symmetry_Int_Tables_number 123
_symmetry_space_group_name_Hall '-P 4 2'
loop_
_atom_site_label
_atom_site_type_symbol
_atom_site_fract_x
_atom_site_fract_y
_atom_site_fract_z
Na1 Na 0.0000 0.0000 0.0000
Hf1 Hf 0.5000 0.5000 0.5000
Se1 Se 0.0000 0.5000 0.0000
Br1 Br 0.0000 0.0000 0.5000
```

***

[2]
Density functional theory data (GGA-PBE) for a geometry-optimized NaHfSe2Br structure.

Computed properties:
magnetic moment	0.0	μB per formula unit
raw total energy	-5.05	eV per atom
E above lowest polymorph	0.00	kcal/mol of atoms
uncorrected formation energy	-1.07	eV/atom

Geometry as CIF:
```
data_NaHfSe2Br
_chemical_formula_sum 'Na1 Hf1 Se2 Br1'
_cell_length_a 5.1992
_cell_length_b 5.1992
_cell_length_c 5.3893
_cell_angle_alpha 90.00
_cell_angle_beta 90.00
_cell_angle_gamma 90.00
_symmetry_space_group_name_H-M 'P 4/m m m'
_symmetry_Int_Tables_number 123
_symmetry_space_group_name_Hall '-P 4 2'
loop_
_atom_site_label
_atom_site_type_symbol
_atom_site_fract_x
_atom_site_fract_y
_atom_site_fract_z
Na1 Na 0.0000 0.0000 0.0000
Hf1 Hf 0.5000 0.5000 0.5000
Se1 Se 0.0000 0.5000 0.5000
Br1 Br 0.5000 0.5000 0.0000
```